Ce2MgAlOs2: optimized geometry, PBE.

## Properties
**Total magnetic moment**: 0.00 μB per atom
**ΔH_f (0 K)**: -0.245 eV per atom
**Symmetry**: Ibam, No. 72

Unit cell a=6.107 b=7.874 c=7.344 alpha=122.42 beta=114.57 gamma=90.00
Fractional coordinates of all 12 atoms:
Ce (0.678, 0.910, 0.355)
Ce (0.178, 0.445, 0.355)
Ce (0.822, 0.555, 0.645)
Ce (0.322, 0.090, 0.645)
Mg (0.250, 0.000, 0.000)
Mg (0.750, 0.000, 0.000)
Al (0.750, 0.500, 0.000)
Al (0.250, 0.500, 0.000)
Os (0.401, 0.633, 0.802)
Os (0.599, 0.367, 0.198)
Os (0.099, 0.831, 0.198)
Os (0.901, 0.169, 0.802)